[1]
This record from Alexandria describes a relaxed structure of CsAl2CdH8. The functional is PBE.

Structure (extended XYZ):
```
12
Lattice="2.811 1.623 7.482 -2.811 1.623 7.482 0.000 -3.246 7.482" Properties=species:S:1:pos:R:3 pbc="T T T"
Cs 0.000 0.000 0.000
Al 0.000 0.000 5.473
Al 0.000 0.000 16.973
Cd 0.000 0.000 11.223
H -1.260 -1.349 10.020
H -1.798 0.416 12.426
H 0.000 0.000 7.115
H 0.538 -1.765 12.426
H -0.538 1.765 10.020
H 0.000 0.000 15.331
H 1.798 -0.416 10.020
H 1.260 1.349 12.426
```

Values from the calculation:
Calculated total energy ... -2.98 eV/atom



[2]
This record from Alexandria describes a relaxed structure of Dy5Sn2Te2. The functional is PBE.

Structure (extended XYZ):
```
18
Lattice="-8.521 3.841 4.106 8.521 -3.841 4.106 8.521 3.841 -4.106" Properties=species:S:1:pos:R:3 pbc="T T T"
Dy 4.261 2.625 -1.882
Dy 0.984 1.667 0.000
Dy 7.537 1.667 0.000
Dy 4.261 1.216 2.224
Dy 2.631 -1.126 5.003
Dy 5.891 -1.126 5.003
Dy 2.631 4.967 0.897
Dy 5.891 4.967 0.897
Dy 0.984 2.174 4.106
Dy 7.537 2.174 4.106
Sn 1.438 -0.341 2.296
Sn 7.083 -0.341 2.296
Sn 7.083 4.182 -1.811
Sn 9.960 0.341 2.296
Te 0.000 3.841 1.859
Te 0.000 0.000 5.965
Te -4.261 3.598 3.492
Te 4.261 4.083 3.492
```

Values from the calculation:
Formation energy without anion corrections ... -649 kJ/mol of formula units



[3]
This record from Alexandria describes a relaxed structure of AlGe3W. The functional is PBE.

Structure (extended XYZ):
```
5
Lattice="4.923 0.000 0.000 0.000 4.923 0.000 0.000 0.000 4.923" Properties=species:S:1:pos:R:3 pbc="T T T"
Al 0.000 0.000 0.000
Ge 0.000 2.462 2.462
Ge 2.462 0.000 2.462
Ge 2.462 2.462 0.000
W 2.462 2.462 2.462
```

Values from the calculation:
Calculated total energy ... -5.55 eV/atom



Please write out number 1 again, unchanged.
This record from Alexandria describes a relaxed structure of CsAl2CdH8. The functional is PBE.

Structure (extended XYZ):
```
12
Lattice="2.811 1.623 7.482 -2.811 1.623 7.482 0.000 -3.246 7.482" Properties=species:S:1:pos:R:3 pbc="T T T"
Cs 0.000 0.000 0.000
Al 0.000 0.000 5.473
Al 0.000 0.000 16.973
Cd 0.000 0.000 11.223
H -1.260 -1.349 10.020
H -1.798 0.416 12.426
H 0.000 0.000 7.115
H 0.538 -1.765 12.426
H -0.538 1.765 10.020
H 0.000 0.000 15.331
H 1.798 -0.416 10.020
H 1.260 1.349 12.426
```

Values from the calculation:
Calculated total energy ... -2.98 eV/atom